#one
This record from the Alexandria database describes a relaxed PrY3Sc3 crystal. The functional is PBE.

V: 214.4 Å³/f.u.
Space-group type: No. 148

abc: 8.526 8.526 8.526
angles: 59.05 59.05 59.05
Positions (direct):
Sc 0.275 0.833 0.063
Sc 0.167 0.937 0.725
Sc 0.833 0.063 0.275
Pr 0.650 0.650 0.650
Sc 0.063 0.275 0.833
Sc 0.937 0.725 0.167
Y 0.277 0.431 0.934
Sc 0.725 0.167 0.937
Y 0.066 0.723 0.569
Y 0.431 0.934 0.277
Pr 0.350 0.350 0.350
Y 0.934 0.277 0.431
Y 0.723 0.569 0.066
Y 0.569 0.066 0.723

---

#two
This record from the Alexandria database describes a relaxed PrY3Sc3 crystal. The functional is PBE.

V: 206.5 Å³/f.u.
Space-group type: No. 176

abc: 5.501 9.311 9.311
angles: 120.00 90.00 90.00
Positions (direct):
Sc 0.250 0.098 0.614
Y 0.750 0.195 0.244
Sc 0.750 0.614 0.516
Pr 0.250 0.667 0.333
Y 0.750 0.756 0.951
Pr 0.750 0.333 0.667
Sc 0.250 0.386 0.484
Sc 0.750 0.484 0.098
Y 0.750 0.049 0.805
Y 0.250 0.244 0.049
Sc 0.750 0.902 0.386
Y 0.250 0.951 0.195
Sc 0.250 0.516 0.902
Y 0.250 0.805 0.756

---

It is #two that is most stable; the runner-up trails by 13.5 kJ/mol of atoms.

---

#one
This record from the Alexandria database describes a relaxed Pr5Y4Sc2 crystal. The functional is PBE.

V: 361.9 Å³/f.u.
Space-group type: No. 10

abc: 3.562 8.893 11.453
angles: 86.14 90.00 90.00
Positions (direct):
Pr 0.000 0.568 0.694
Y 0.500 0.740 0.444
Y 0.500 0.835 0.877
Y 0.500 0.260 0.556
Sc 0.000 0.941 0.631
Pr 0.000 0.500 0.000
Pr 0.000 0.814 0.162
Pr 0.000 0.186 0.838
Pr 0.000 0.432 0.306
Sc 0.000 0.059 0.369
Y 0.500 0.165 0.123

---

#two
This record from the Alexandria database describes a relaxed Pr5Y4Sc2 crystal. The functional is PBE.

V: 377.3 Å³/f.u.
Space-group type: No. 71

abc: 3.513 9.283 12.589
angles: 111.64 98.02 90.00
Positions (direct):
Y 0.600 0.600 0.200
Pr 0.846 0.052 0.693
Y 0.000 0.688 0.000
Pr 0.846 0.641 0.693
Y 0.000 0.312 0.000
Pr 0.154 0.359 0.307
Sc 0.270 0.270 0.539
Y 0.400 0.400 0.800
Pr 0.500 0.000 0.000
Sc 0.730 0.730 0.461
Pr 0.154 0.948 0.307

---

It is #one that is most stable; the runner-up trails by 15.6 kJ/mol of atoms.